Entry 1:
Entry from Alexandria via LeMat-Bulk: a relaxed structure of Ti3MnGa3Ni2 (PBE).

The structure in POSCAR format:
```
Ti3MnGa3Ni2
1.0
-1.653 -1.095 2.163
5.776 -0.876 3.971
-3.612 6.063 0.308
Ti Ni Ga Mn
3 2 3 1
Cartesian
-0.235 0.870 2.252
3.370 -1.184 3.967
-3.451 3.858 1.306
1.820 0.889 3.832
-1.309 3.202 2.611
1.342 3.217 2.655
-1.372 2.302 0.117
2.193 -0.333 1.508
0.000 0.000 0.000
```

Output
E_tot = -57.1 eV for the cell shown
DOS(E_F) = 6.620 states/eV/cell
spin magnetization = 0.00 μB/f.u.
calculated formation energy = -400 meV/atom

---

Entry 2:
Entry from Alexandria via LeMat-Bulk: a relaxed structure of TiMnGaNi (PBE).

The structure in POSCAR format:
```
TiMnGaNi
1.0
4.159 0.000 0.000
2.079 3.602 0.000
2.079 1.201 3.396
Ga Ti Ni Mn
1 1 1 1
Cartesian
6.238 3.602 2.547
2.079 1.201 0.849
4.159 2.401 1.698
0.000 0.000 0.000
```

Output
E_tot = -27.2 eV for the cell shown
DOS(E_F) = 3.156 states/eV/cell
spin magnetization = 0.00 μB/f.u.
calculated formation energy = -338 meV/atom

---

Entry 3:
Entry from Alexandria via LeMat-Bulk: a relaxed structure of Tm2MnGa4Ni3 (PBE).

The structure in POSCAR format:
```
Tm2MnGa4Ni3
1.0
3.899 0.000 0.000
0.000 3.899 0.000
0.000 0.000 10.757
Tm Ga Ni Mn
2 4 3 1
Cartesian
1.950 0.000 2.618
0.000 1.950 8.139
1.950 0.000 6.901
0.000 1.950 3.855
1.950 1.950 0.000
0.000 0.000 0.000
1.950 0.000 9.271
0.000 0.000 5.378
0.000 1.950 1.486
1.950 1.950 5.378
```

Output
E_tot = -52.5 eV for the cell shown
DOS(E_F) = 7.753 states/eV/cell
spin magnetization = 2.84 μB/f.u.
calculated formation energy = -491 meV/atom

---

Entry 4:
Entry from Alexandria via LeMat-Bulk: a relaxed structure of Tm2MnGa2Ni5 (PBE).

The structure in POSCAR format:
```
Tm2MnGa2Ni5
1.0
3.409 0.000 0.000
0.000 9.406 0.000
0.000 0.000 9.406
Ni Tm Mn Ga
10 4 2 4
Cartesian
1.704 0.000 4.703
1.704 8.867 1.868
1.704 7.538 8.867
1.704 4.164 2.835
1.704 4.703 0.000
1.704 5.242 6.572
1.704 2.835 5.242
1.704 1.868 0.539
1.704 0.539 7.538
1.704 6.572 4.164
0.000 3.055 7.759
0.000 6.351 1.648
0.000 1.648 3.055
0.000 7.759 6.351
0.000 0.000 0.000
0.000 4.703 4.703
0.000 1.162 5.865
0.000 5.865 8.244
0.000 8.244 3.541
0.000 3.541 1.162
```

Output
E_tot = -112.9 eV for the cell shown
DOS(E_F) = 11.476 states/eV/cell
spin magnetization = 3.52 μB/f.u.
calculated formation energy = -335 meV/atom

---

> Which value of DOS(E_F) does entry 3 give?

7.753 states/eV/cell

---

> Among the records above, which one has the highest calculated formation energy?

Tm2MnGa2Ni5